# CoTc3O

A geometry-optimized CoTc3O structure (PBE+U, the Alexandria database).

The density of states at the Fermi level is 6.37 states/eV/cell. Its energy above the most stable polymorph in this dataset is 1728 meV/atom.

It has space group Pm-3m (No. 221), with a = 4.3837 Å, b = 4.3837 Å, c = 4.3837 Å, α = 90.00°, β = 90.00° and γ = 90.00°. The inequivalent atoms are Co at (0.0000, 0.0000, 0.0000), Tc at (0.0000, 0.0000, 0.5000) and O at (0.5000, 0.5000, 0.5000).